The following is a PBE-GGA calculation of Hf5Sn3Pt12 after structural relaxation, from Alexandria via LeMat-Bulk.

Values from the calculation:
As for the total DFT energy (no corrections): -7.037 eV/atom. The value obtained for the energy of formation is -31.2 kJ/mol of atoms.

Unit cell a=13.329 b=13.329 c=13.329 alpha=109.47 beta=109.47 gamma=109.47
Positions (direct):
Hf: 0.000 0.000 0.000
Hf: 0.000 0.000 0.500
Hf: 0.000 0.500 0.000
Hf: 0.000 0.500 0.500
Hf: 0.125 0.750 0.875
Hf: 0.125 0.875 0.250
Hf: 0.250 0.125 0.875
Hf: 0.250 0.625 0.375
Hf: 0.375 0.250 0.625
Hf: 0.375 0.625 0.750
Hf: 0.500 0.000 0.000
Hf: 0.500 0.000 0.500
Hf: 0.500 0.500 0.000
Hf: 0.500 0.500 0.500
Hf: 0.625 0.375 0.250
Hf: 0.625 0.750 0.375
Hf: 0.750 0.375 0.625
Hf: 0.750 0.875 0.125
Hf: 0.875 0.125 0.750
Hf: 0.875 0.250 0.125
Sn: 0.125 0.250 0.375
Sn: 0.125 0.375 0.750
Sn: 0.250 0.375 0.125
Sn: 0.250 0.875 0.625
Sn: 0.375 0.125 0.250
Sn: 0.375 0.750 0.125
Sn: 0.625 0.250 0.875
Sn: 0.625 0.875 0.750
Sn: 0.750 0.125 0.375
Sn: 0.750 0.625 0.875
Sn: 0.875 0.625 0.250
Sn: 0.875 0.750 0.625
Pt: 0.065 0.230 0.139
Pt: 0.065 0.335 0.927
Pt: 0.073 0.639 0.408
Pt: 0.073 0.935 0.665
Pt: 0.092 0.730 0.665
Pt: 0.092 0.861 0.427
Pt: 0.139 0.065 0.230
Pt: 0.139 0.573 0.908
Pt: 0.165 0.230 0.592
Pt: 0.165 0.435 0.573
Pt: 0.230 0.139 0.065
Pt: 0.230 0.592 0.165
Pt: 0.270 0.335 0.908
Pt: 0.270 0.435 0.361
Pt: 0.335 0.908 0.270
Pt: 0.335 0.927 0.065
Pt: 0.361 0.270 0.435
Pt: 0.361 0.592 0.927
Pt: 0.408 0.073 0.639
Pt: 0.408 0.835 0.770
Pt: 0.427 0.092 0.861
Pt: 0.427 0.835 0.565
Pt: 0.435 0.361 0.270
Pt: 0.435 0.573 0.165
Pt: 0.565 0.427 0.835
Pt: 0.565 0.639 0.730
Pt: 0.573 0.165 0.435
Pt: 0.573 0.908 0.139
Pt: 0.592 0.165 0.230
Pt: 0.592 0.927 0.361
Pt: 0.639 0.408 0.073
Pt: 0.639 0.730 0.565
Pt: 0.665 0.073 0.935
Pt: 0.665 0.092 0.730
Pt: 0.730 0.565 0.639
Pt: 0.730 0.665 0.092
Pt: 0.770 0.408 0.835
Pt: 0.770 0.861 0.935
Pt: 0.835 0.565 0.427
Pt: 0.835 0.770 0.408
Pt: 0.861 0.427 0.092
Pt: 0.861 0.935 0.770
Pt: 0.908 0.139 0.573
Pt: 0.908 0.270 0.335
Pt: 0.927 0.065 0.335
Pt: 0.927 0.361 0.592
Pt: 0.935 0.665 0.073
Pt: 0.935 0.770 0.861

=====

The following is a PBE-GGA calculation of HfSnPt6 after structural relaxation, from Alexandria via LeMat-Bulk.

Values from the calculation:
As for the total DFT energy (no corrections): -7.045 eV/atom. The value obtained for the energy of formation is -74.3 kJ/mol of atoms.

Unit cell a=4.040 b=4.040 c=8.124 alpha=90.00 beta=90.00 gamma=90.00
Positions (direct):
Hf: 0.000 0.000 0.000
Sn: 0.000 0.000 0.500
Pt: 0.000 0.500 0.243
Pt: 0.000 0.500 0.757
Pt: 0.500 0.000 0.243
Pt: 0.500 0.000 0.757
Pt: 0.500 0.500 0.000
Pt: 0.500 0.500 0.500

=====

The following is a PBE-GGA calculation of Hf2SnPt9 after structural relaxation, from Alexandria via LeMat-Bulk.

Values from the calculation:
As for the total DFT energy (no corrections): -7.410 eV/atom. The value obtained for the energy of formation is -85.6 kJ/mol of atoms.

Unit cell a=4.036 b=4.036 c=12.159 alpha=90.00 beta=90.00 gamma=90.00
Positions (direct):
Hf: 0.000 0.000 0.166
Hf: 0.000 0.000 0.834
Sn: 0.000 0.000 0.500
Pt: 0.000 0.500 0.000
Pt: 0.000 0.500 0.328
Pt: 0.000 0.500 0.672
Pt: 0.500 0.000 0.000
Pt: 0.500 0.000 0.328
Pt: 0.500 0.000 0.672
Pt: 0.500 0.500 0.165
Pt: 0.500 0.500 0.500
Pt: 0.500 0.500 0.835

=====

The following is a PBE-GGA calculation of HfSn2Pt2 after structural relaxation, from Alexandria via LeMat-Bulk.

Values from the calculation:
As for the total DFT energy (no corrections): -6.450 eV/atom. The value obtained for the energy of formation is -42.6 kJ/mol of atoms.

Unit cell a=7.133 b=7.133 c=4.036 alpha=90.00 beta=90.00 gamma=90.00
Positions (direct):
Hf: 0.000 0.000 0.000
Hf: 0.500 0.500 0.000
Sn: 0.175 0.325 0.500
Sn: 0.325 0.825 0.500
Sn: 0.675 0.175 0.500
Sn: 0.825 0.675 0.500
Pt: 0.134 0.634 0.000
Pt: 0.366 0.134 0.000
Pt: 0.634 0.866 0.000
Pt: 0.866 0.366 0.000

=====

The following is a PBE-GGA calculation of HfSn2Pt9 after structural relaxation, from Alexandria via LeMat-Bulk.

Values from the calculation:
As for the total DFT energy (no corrections): -6.673 eV/atom. The value obtained for the energy of formation is -62.3 kJ/mol of atoms.

Unit cell a=4.047 b=4.047 c=12.177 alpha=90.00 beta=90.00 gamma=90.00
Positions (direct):
Hf: 0.000 0.000 0.000
Sn: 0.000 0.000 0.333
Sn: 0.000 0.000 0.667
Pt: 0.000 0.500 0.162
Pt: 0.000 0.500 0.500
Pt: 0.000 0.500 0.838
Pt: 0.500 0.000 0.162
Pt: 0.500 0.000 0.500
Pt: 0.500 0.000 0.838
Pt: 0.500 0.500 0.000
Pt: 0.500 0.500 0.332
Pt: 0.500 0.500 0.668

=====

The following is a PBE-GGA calculation of HfSn3Pt after structural relaxation, from Alexandria via LeMat-Bulk.

Values from the calculation:
As for the total DFT energy (no corrections): -5.114 eV/atom. Its distance to the lowest polymorph of the same formula is 0 meV/atom. The value obtained for the energy of formation is 46.9 kJ/mol of atoms.

Unit cell a=5.186 b=5.186 c=5.186 alpha=90.00 beta=90.00 gamma=90.00
Positions (direct):
Hf: 0.000 0.000 0.000
Sn: 0.000 0.500 0.500
Sn: 0.500 0.000 0.500
Sn: 0.500 0.500 0.000
Pt: 0.500 0.500 0.500